Here is an optimized crystal structure of Zn3TcO from Alexandria. Energies are from PBE-GGA.

POSCAR file:
```
Zn3TcO
1.0
4.101 0.000 0.000
0.000 4.101 0.000
0.000 0.000 4.101
Zn Tc O
3 1 1
Direct
0.000 0.000 0.500
0.000 0.500 0.000
0.500 0.000 0.000
0.500 0.500 0.500
0.000 0.000 0.000
```

Calculated values
calculated volume = 69 Å³/cell
D(E_F) = 4.3 states/eV/cell
mass density = 7.47 g/cm3
electronic total energy = -3.6618 eV/atom
E_form (uncorrected) = 167 meV per atom